(1)
! Pm2PuFe2 (PBE-GGA, optimized geometry); values from VASP
&SYSTEM
  ibrav = 0, nat = 10, ntyp = 3
/
ATOMIC_SPECIES
Pm 145.00 Pm.upf
Pu 244.00 Pu.upf
Fe 55.84 Fe.upf
CELL_PARAMETERS angstrom
4.908 -2.972 0.000
4.908 2.972 0.000
-1.266 0.000 7.513
ATOMIC_POSITIONS crystal
Pm 0.041 0.265 0.151
Pm 0.265 0.041 0.651
Pm 0.735 0.959 0.349
Pm 0.959 0.735 0.849
Pu 0.396 0.604 0.250
Pu 0.604 0.396 0.750
Fe 0.264 0.497 0.489
Fe 0.497 0.264 0.989
Fe 0.503 0.736 0.011
Fe 0.736 0.503 0.511
! Formation enthalpy at 0 K in eV per atom: -0.011

---

(2)
! Pm3PuFe (PBE-GGA, optimized geometry); values from VASP
&SYSTEM
  ibrav = 0, nat = 5, ntyp = 3
/
ATOMIC_SPECIES
Pm 145.00 Pm.upf
Pu 244.00 Pu.upf
Fe 55.84 Fe.upf
CELL_PARAMETERS angstrom
5.351 0.000 0.000
0.000 5.351 0.000
0.000 0.000 5.351
ATOMIC_POSITIONS crystal
Pm 0.000 0.000 0.500
Pm 0.000 0.500 0.000
Pm 0.500 0.000 0.000
Pu 0.500 0.500 0.500
Fe 0.000 0.000 0.000
! Formation enthalpy at 0 K in eV per atom: 0.300

---

(3)
! PmPu2Fe (PBE-GGA, optimized geometry); values from VASP
&SYSTEM
  ibrav = 0, nat = 4, ntyp = 3
/
ATOMIC_SPECIES
Pm 145.00 Pm.upf
Pu 244.00 Pu.upf
Fe 55.84 Fe.upf
CELL_PARAMETERS angstrom
3.341 0.000 0.000
0.000 3.341 0.000
0.000 0.000 8.714
ATOMIC_POSITIONS crystal
Pm 0.000 0.000 0.000
Pu 0.500 0.500 0.313
Pu 0.500 0.500 0.687
Fe 0.000 0.000 0.500
! Formation enthalpy at 0 K in eV per atom: 0.143
! Offset from the most stable computed form in meV/atom: 0.0

---

(4)
! PmPuFe4 (PBE-GGA, optimized geometry); values from VASP
&SYSTEM
  ibrav = 0, nat = 6, ntyp = 3
/
ATOMIC_SPECIES
Pm 145.00 Pm.upf
Pu 244.00 Pu.upf
Fe 55.84 Fe.upf
CELL_PARAMETERS angstrom
0.000 3.627 3.627
3.627 0.000 3.627
3.627 3.627 0.000
ATOMIC_POSITIONS crystal
Pm 0.000 0.000 0.000
Pu 0.250 0.250 0.250
Fe 0.129 0.624 0.624
Fe 0.624 0.129 0.624
Fe 0.624 0.624 0.129
Fe 0.624 0.624 0.624
! Formation enthalpy at 0 K in eV per atom: 0.178

---

(5)
! PmPu2Fe9 (PBE-GGA, optimized geometry); values from VASP
&SYSTEM
  ibrav = 0, nat = 12, ntyp = 3
/
ATOMIC_SPECIES
Pm 145.00 Pm.upf
Pu 244.00 Pu.upf
Fe 55.84 Fe.upf
CELL_PARAMETERS angstrom
2.496 1.441 8.287
-2.496 1.441 8.287
0.000 -2.882 8.287
ATOMIC_POSITIONS crystal
Pm 0.000 0.000 0.000
Pu 0.147 0.147 0.147
Pu 0.853 0.853 0.853
Fe 0.080 0.582 0.582
Fe 0.334 0.334 0.334
Fe 0.418 0.418 0.920
Fe 0.418 0.920 0.418
Fe 0.500 0.500 0.500
Fe 0.582 0.080 0.582
Fe 0.582 0.582 0.080
Fe 0.666 0.666 0.666
Fe 0.920 0.418 0.418
! Formation enthalpy at 0 K in eV per atom: 0.122

---

(6)
! PmPuFeRh (PBE-GGA, optimized geometry); values from VASP
&SYSTEM
  ibrav = 0, nat = 4, ntyp = 4
/
ATOMIC_SPECIES
Pm 145.00 Pm.upf
Pu 244.00 Pu.upf
Fe 55.84 Fe.upf
Rh 102.91 Rh.upf
CELL_PARAMETERS angstrom
0.000 3.440 3.440
3.440 0.000 3.440
3.440 3.440 0.000
ATOMIC_POSITIONS crystal
Pm 0.000 0.000 0.000
Pu 0.500 0.500 0.500
Fe 0.250 0.250 0.250
Rh 0.750 0.750 0.750
! Formation enthalpy at 0 K in eV per atom: -0.159

---

(7)
! PmPuZnFe (PBE-GGA, optimized geometry); values from VASP
&SYSTEM
  ibrav = 0, nat = 4, ntyp = 4
/
ATOMIC_SPECIES
Pm 145.00 Pm.upf
Pu 244.00 Pu.upf
Zn 65.41 Zn.upf
Fe 55.84 Fe.upf
CELL_PARAMETERS angstrom
0.000 3.514 3.514
3.514 0.000 3.514
3.514 3.514 0.000
ATOMIC_POSITIONS crystal
Pm 0.000 0.000 0.000
Pu 0.500 0.500 0.500
Zn 0.250 0.250 0.250
Fe 0.750 0.750 0.750
! Formation enthalpy at 0 K in eV per atom: 0.070

---

(8)
! PmFeSbRh (PBE-GGA, optimized geometry); values from VASP
&SYSTEM
  ibrav = 0, nat = 4, ntyp = 4
/
ATOMIC_SPECIES
Pm 145.00 Pm.upf
Fe 55.84 Fe.upf
Sb 121.76 Sb.upf
Rh 102.91 Rh.upf
CELL_PARAMETERS angstrom
0.000 3.356 3.356
3.356 0.000 3.356
3.356 3.356 0.000
ATOMIC_POSITIONS crystal
Pm 0.000 0.000 0.000
Fe 0.250 0.250 0.250
Sb 0.500 0.500 0.500
Rh 0.750 0.750 0.750
! Energy relative to the elements, uncorrected in eV per atom: -0.28

---

(9)
! PmFeSi2Rh (PBE-GGA, optimized geometry); values from VASP
&SYSTEM
  ibrav = 0, nat = 5, ntyp = 4
/
ATOMIC_SPECIES
Pm 145.00 Pm.upf
Fe 55.84 Fe.upf
Si 28.09 Si.upf
Rh 102.91 Rh.upf
CELL_PARAMETERS angstrom
-2.034 2.034 4.934
2.034 -2.034 4.934
2.034 2.034 -4.934
ATOMIC_POSITIONS crystal
Pm 0.000 0.000 0.000
Fe 0.750 0.250 0.500
Si 0.370 0.370 0.000
Si 0.630 0.630 0.000
Rh 0.250 0.750 0.500
! Energy relative to the elements, uncorrected in eV per atom: -0.87

---

(10)
! Pm2Zn2FeRh5 (PBE-GGA, optimized geometry); values from VASP
&SYSTEM
  ibrav = 0, nat = 20, ntyp = 4
/
ATOMIC_SPECIES
Pm 145.00 Pm.upf
Zn 65.41 Zn.upf
Fe 55.84 Fe.upf
Rh 102.91 Rh.upf
CELL_PARAMETERS angstrom
9.848 0.000 0.000
0.000 9.848 0.000
0.000 0.000 3.519
ATOMIC_POSITIONS crystal
Pm 0.173 0.327 0.000
Pm 0.327 0.827 0.000
Pm 0.673 0.173 0.000
Pm 0.827 0.673 0.000
Zn 0.126 0.626 0.000
Zn 0.374 0.126 0.000
Zn 0.626 0.874 0.000
Zn 0.874 0.374 0.000
Fe 0.000 0.000 0.000
Fe 0.500 0.500 0.000
Rh 0.000 0.500 0.500
Rh 0.061 0.803 0.500
Rh 0.197 0.061 0.500
Rh 0.303 0.561 0.500
Rh 0.439 0.303 0.500
Rh 0.500 0.000 0.500
Rh 0.561 0.697 0.500
Rh 0.697 0.439 0.500
Rh 0.803 0.939 0.500
Rh 0.939 0.197 0.500
! Formation enthalpy at 0 K in eV per atom: -0.413

---

(11)
! PmFe4Ru (PBE-GGA, optimized geometry); values from VASP
&SYSTEM
  ibrav = 0, nat = 6, ntyp = 3
/
ATOMIC_SPECIES
Pm 145.00 Pm.upf
Fe 55.84 Fe.upf
Ru 101.07 Ru.upf
CELL_PARAMETERS angstrom
0.000 3.555 3.555
3.555 0.000 3.555
3.555 3.555 0.000
ATOMIC_POSITIONS crystal
Pm 0.000 0.000 0.000
Fe 0.376 0.376 0.376
Fe 0.376 0.376 0.873
Fe 0.376 0.873 0.376
Fe 0.873 0.376 0.376
Ru 0.750 0.750 0.750
! Formation enthalpy at 0 K in eV per atom: 0.147

---

(12)
! PmFeRu (PBE-GGA, optimized geometry); values from VASP
&SYSTEM
  ibrav = 0, nat = 6, ntyp = 3
/
ATOMIC_SPECIES
Pm 145.00 Pm.upf
Fe 55.84 Fe.upf
Ru 101.07 Ru.upf
CELL_PARAMETERS angstrom
-2.619 2.747 3.729
2.619 -2.747 3.729
2.619 2.747 -3.729
ATOMIC_POSITIONS crystal
Pm 0.376 0.126 0.250
Pm 0.624 0.874 0.750
Fe 0.000 0.000 0.500
Fe 0.000 0.500 0.000
Ru 0.000 0.500 0.500
Ru 0.500 0.500 0.000
! Formation enthalpy at 0 K in eV per atom: -0.108
! Offset from the most stable computed form in meV/atom: 0.0

---

(13)
! PmFeRu (PBE-GGA, optimized geometry); values from VASP
&SYSTEM
  ibrav = 0, nat = 3, ntyp = 3
/
ATOMIC_SPECIES
Pm 145.00 Pm.upf
Fe 55.84 Fe.upf
Ru 101.07 Ru.upf
CELL_PARAMETERS angstrom
3.995 0.000 0.000
-1.998 3.460 0.000
0.000 0.000 4.369
ATOMIC_POSITIONS crystal
Pm 0.000 0.000 0.000
Fe 0.333 0.667 0.500
Ru 0.667 0.333 0.500
! Formation enthalpy at 0 K in eV per atom: 0.028
! Offset from the most stable computed form in meV/atom: 135.9

---

(14)
! PmFeSbRu (PBE-GGA, optimized geometry); values from VASP
&SYSTEM
  ibrav = 0, nat = 4, ntyp = 4
/
ATOMIC_SPECIES
Pm 145.00 Pm.upf
Fe 55.84 Fe.upf
Sb 121.76 Sb.upf
Ru 101.07 Ru.upf
CELL_PARAMETERS angstrom
0.000 3.296 3.296
3.296 0.000 3.296
3.296 3.296 0.000
ATOMIC_POSITIONS crystal
Pm 0.000 0.000 0.000
Fe 0.750 0.750 0.750
Sb 0.500 0.500 0.500
Ru 0.250 0.250 0.250
! Energy relative to the elements, uncorrected in eV per atom: -0.08

---

(15)
! PmFeSi2Ru (PBE-GGA, optimized geometry); values from VASP
&SYSTEM
  ibrav = 0, nat = 5, ntyp = 4
/
ATOMIC_SPECIES
Pm 145.00 Pm.upf
Fe 55.84 Fe.upf
Si 28.09 Si.upf
Ru 101.07 Ru.upf
CELL_PARAMETERS angstrom
-2.052 2.052 4.889
2.052 -2.052 4.889
2.052 2.052 -4.889
ATOMIC_POSITIONS crystal
Pm 0.000 0.000 0.000
Fe 0.750 0.250 0.500
Si 0.366 0.366 0.000
Si 0.634 0.634 0.000
Ru 0.250 0.750 0.500
! Energy relative to the elements, uncorrected in eV per atom: -0.75

---

(16)
! PmFeSi3Ru (PBE-GGA, optimized geometry); values from VASP
&SYSTEM
  ibrav = 0, nat = 12, ntyp = 4
/
ATOMIC_SPECIES
Pm 145.00 Pm.upf
Fe 55.84 Fe.upf
Si 28.09 Si.upf
Ru 101.07 Ru.upf
CELL_PARAMETERS angstrom
3.637 -5.385 0.000
3.637 5.385 0.000
0.000 0.000 5.503
ATOMIC_POSITIONS crystal
Pm 0.245 0.755 0.750
Pm 0.755 0.245 0.250
Fe 0.044 0.956 0.250
Fe 0.956 0.044 0.750
Si 0.238 0.762 0.250
Si 0.242 0.242 0.000
Si 0.242 0.242 0.500
Si 0.758 0.758 0.000
Si 0.758 0.758 0.500
Si 0.762 0.238 0.750
Ru 0.443 0.557 0.250
Ru 0.557 0.443 0.750
! Energy relative to the elements, uncorrected in eV per atom: -0.42

---

(17)
! PmFeS (PBE-GGA, optimized geometry); values from VASP
&SYSTEM
  ibrav = 0, nat = 6, ntyp = 3
/
ATOMIC_SPECIES
Pm 145.00 Pm.upf
Fe 55.84 Fe.upf
S 32.06 S.upf
CELL_PARAMETERS angstrom
2.274 1.313 7.558
-2.274 1.313 7.558
0.000 -2.626 7.558
ATOMIC_POSITIONS crystal
Pm 0.085 0.085 0.085
Pm 0.915 0.915 0.915
Fe 0.324 0.324 0.324
Fe 0.676 0.676 0.676
S 0.217 0.217 0.217
S 0.783 0.783 0.783
! Energy relative to the elements, uncorrected in eV per atom: -0.79

---

(18)
! Pm3FeSb (PBE-GGA, optimized geometry); values from VASP
&SYSTEM
  ibrav = 0, nat = 5, ntyp = 3
/
ATOMIC_SPECIES
Pm 145.00 Pm.upf
Fe 55.84 Fe.upf
Sb 121.76 Sb.upf
CELL_PARAMETERS angstrom
5.180 0.000 0.000
0.000 5.180 0.000
0.000 0.000 5.180
ATOMIC_POSITIONS crystal
Pm 0.000 0.000 0.500
Pm 0.000 0.500 0.000
Pm 0.500 0.000 0.000
Fe 0.000 0.000 0.000
Sb 0.500 0.500 0.500
! Energy relative to the elements, uncorrected in eV per atom: -0.26

---

(19)
! Pm2FeSb (PBE-GGA, optimized geometry); values from VASP
&SYSTEM
  ibrav = 0, nat = 4, ntyp = 3
/
ATOMIC_SPECIES
Pm 145.00 Pm.upf
Fe 55.84 Fe.upf
Sb 121.76 Sb.upf
CELL_PARAMETERS angstrom
1.804 1.041 10.099
-1.804 1.041 10.099
0.000 -2.083 10.099
ATOMIC_POSITIONS crystal
Pm 0.106 0.106 0.106
Pm 0.894 0.894 0.894
Fe 0.500 0.500 0.500
Sb 0.000 0.000 0.000
! Energy relative to the elements, uncorrected in eV per atom: 0.20
! Offset from the most stable computed form in meV/atom: 483.1

---

(20)
! Pm2FeSb (PBE-GGA, optimized geometry); values from VASP
&SYSTEM
  ibrav = 0, nat = 4, ntyp = 3
/
ATOMIC_SPECIES
Pm 145.00 Pm.upf
Fe 55.84 Fe.upf
Sb 121.76 Sb.upf
CELL_PARAMETERS angstrom
5.060 0.000 0.000
0.000 5.060 0.000
0.000 0.000 3.993
ATOMIC_POSITIONS crystal
Pm 0.000 0.500 0.000
Pm 0.500 0.000 0.000
Fe 0.000 0.000 0.500
Sb 0.500 0.500 0.500
! Energy relative to the elements, uncorrected in eV per atom: -0.28
! Offset from the most stable computed form in meV/atom: 0.0

---

no.,raw total energy (eV/atom)
1,-8.163
2,-7.109
3,-10.326
4,-8.644
5,-9.010
6,-8.883
7,-7.134
8,-6.449
9,-7.153
10,-6.140
11,-7.833
12,-7.604
13,-7.468
14,-6.736
15,-7.415
16,-6.876
17,-6.572
18,-5.628
19,-5.322
20,-5.805